Here is a relaxed KCr2CdO8 crystal from Alexandria. Energies are from GGA+U.

CIF file:
```
data_KCr2CdO8
_chemical_formula_sum 'K3 Cr6 Cd3 O24'
_cell_length_a 5.3010
_cell_length_b 5.3010
_cell_length_c 23.8453
_cell_angle_alpha 90.00
_cell_angle_beta 90.00
_cell_angle_gamma 120.00
_space_group_name_H-M_alt 'R -3'
_space_group_IT_number 148
_space_group_name_Hall '-R 3'
loop_
_atom_site_label
_atom_site_type_symbol
_atom_site_fract_x
_atom_site_fract_y
_atom_site_fract_z
K1 K 0.0000 0.0000 0.0000
Cr1 Cr 0.0000 0.0000 0.2459
Cd1 Cd 0.0000 0.0000 0.5000
O1 O 0.0000 0.0000 0.3149
O2 O 0.0083 0.7045 0.2239
```

Output
- V: 16.12 Å³ per atom
- Electronic total energy: -5.898 eV per atom

Here is a relaxed KCrCd2O4 crystal from Alexandria. Energies are from GGA+U.

CIF file:
```
data_KCrCd2O4
_chemical_formula_sum 'K2 Cr2 Cd4 O8'
_cell_length_a 5.316
_cell_length_b 5.316
_cell_length_c 9.594
_cell_angle_alpha 90.00
_cell_angle_beta 90.00
_cell_angle_gamma 90.00
_space_group_name_H-M_alt 'I -4 2 m'
_space_group_IT_number 121
_space_group_name_Hall 'I -4 2'
loop_
_atom_site_label
_atom_site_type_symbol
_atom_site_fract_x
_atom_site_fract_y
_atom_site_fract_z
K1 K 0.000 0.000 0.000
Cr1 Cr 0.000 0.000 0.500
Cd1 Cd 0.000 0.500 0.250
O1 O 0.192 0.192 0.368
```

Output
- V: 16.94 Å³ per atom
- Electronic total energy: -5.028 eV per atom

Here is a relaxed KCrCdO4 crystal from Alexandria. Energies are from GGA+U.

CIF file:
```
data_KCrCdO4
_chemical_formula_sum 'K2 Cr2 Cd2 O8'
_cell_length_a 5.837
_cell_length_b 6.049
_cell_length_c 7.061
_cell_angle_alpha 90.00
_cell_angle_beta 106.45
_cell_angle_gamma 90.00
_space_group_name_H-M_alt 'P 1 21/m 1'
_space_group_IT_number 11
loop_
_space_group_symop_operation_xyz
'x,y,z'
'-x,-y,-z'
'-x,y+1/2,-z'
'x,-y+1/2,z'
loop_
_atom_site_label
_atom_site_type_symbol
_atom_site_fract_x
_atom_site_fract_y
_atom_site_fract_z
K1 K 0.244 0.250 0.451
Cr1 Cr 0.212 0.750 0.143
Cd1 Cd 0.330 0.250 0.966
O1 O 0.031 0.750 0.296
O2 O 0.064 0.750 0.904
O3 O 0.424 0.530 0.191
```

Output
- V: 17.08 Å³ per atom
- Electronic total energy: -5.561 eV per atom

What did the second record say?
Here is a relaxed KCrCd2O4 crystal from Alexandria. Energies are from GGA+U.

CIF file:
```
data_KCrCd2O4
_chemical_formula_sum 'K2 Cr2 Cd4 O8'
_cell_length_a 5.316
_cell_length_b 5.316
_cell_length_c 9.594
_cell_angle_alpha 90.00
_cell_angle_beta 90.00
_cell_angle_gamma 90.00
_space_group_name_H-M_alt 'I -4 2 m'
_space_group_IT_number 121
_space_group_name_Hall 'I -4 2'
loop_
_atom_site_label
_atom_site_type_symbol
_atom_site_fract_x
_atom_site_fract_y
_atom_site_fract_z
K1 K 0.000 0.000 0.000
Cr1 Cr 0.000 0.000 0.500
Cd1 Cd 0.000 0.500 0.250
O1 O 0.192 0.192 0.368
```

Output
- V: 16.94 Å³ per atom
- Electronic total energy: -5.028 eV per atom